Record 1
Density functional theory data (PBE) for crystalline Mg3Ni9GeP2 at its relaxed geometry.

Output
Volume (Å³ per atom): 15.4
SG: No. 164
Total magnetization (μB/atom): 0.00
E_form (kJ/mol of atoms): -19.2

Cell and atoms, written as POSCAR:
```
Mg3Ni9GeP2
1.0
-4.738 -2.496 1.941
1.426 -0.480 -5.494
4.276 -6.794 1.703
Ni P Mg Ge
9 2 3 1
direct
0.141 0.859 0.272 Ni
0.859 0.141 0.728 Ni
0.000 0.500 0.000 Ni
0.283 0.141 0.728 Ni
0.500 0.500 0.000 Ni
0.859 0.717 0.728 Ni
0.500 0.000 0.000 Ni
0.717 0.859 0.272 Ni
0.141 0.283 0.272 Ni
0.667 0.333 0.828 P
0.333 0.667 0.172 P
0.000 0.000 0.000 Mg
0.333 0.667 0.717 Mg
0.667 0.333 0.283 Mg
0.000 0.000 0.500 Ge
```

---

Record 2
Density functional theory data (PBE) for crystalline MgPaNi2Ge2 at its relaxed geometry.

Output
Volume (Å³ per atom): 16.6
SG: No. 164
Total magnetization (μB/atom): 0.00
E_form (kJ/mol of atoms): -49.3

Cell and atoms, written as POSCAR:
```
MgPaNi2Ge2
1.0
4.151 0.000 0.000
-2.075 3.595 0.000
0.000 0.000 6.689
Ge Ni Mg Pa
2 2 1 1
direct
0.667 0.333 0.730 Ge
0.333 0.667 0.270 Ge
0.333 0.667 0.711 Ni
0.667 0.333 0.289 Ni
0.000 0.000 0.500 Mg
0.000 0.000 0.000 Pa
```